1.
First-principles (GGA-PBEsol) data for a relaxed structure of CuOsCl, as listed in Alexandria.

Formation energy from raw total energies = 0.65 eV/atom

```
CuOsCl
1.0
2.8477 0.0000 0.0000
-1.4239 2.4662 0.0000
0.0000 0.0000 5.9181
Cl Os Cu
1 1 1
direct
0.0000 0.0000 0.9998
0.6667 0.3333 0.3352
0.3333 0.6667 0.6649
```

***

2.
First-principles (GGA-PBEsol) data for a relaxed structure of CuP2Cl, as listed in Alexandria.

Formation energy from raw total energies = 0.19 eV/atom

```
CuP2Cl
1.0
3.2705 0.0000 0.0000
0.0000 3.2705 0.0000
0.0000 0.0000 6.8293
P Cu Cl
2 1 1
direct
0.5000 0.0000 0.0000
0.0000 0.5000 0.0000
0.0000 0.0000 0.5000
0.5000 0.5000 0.5000
```

***

3.
First-principles (GGA-PBEsol) data for a relaxed structure of CuP2Cl, as listed in Alexandria.

Formation energy from raw total energies = 0.55 eV/atom

```
CuP2Cl
1.0
4.3565 0.0000 0.0000
2.1782 3.7728 0.0000
2.1782 1.2576 3.5571
P Cu Cl
2 1 1
direct
0.2500 0.2500 0.2500
0.0000 0.0000 0.0000
0.7500 0.7500 0.7500
0.5000 0.5000 0.5000
```

***

4.
First-principles (GGA-PBEsol) data for a relaxed structure of RbCuP2Cl, as listed in Alexandria.

Formation energy from raw total energies = 1.69 eV/atom

```
RbCuP2Cl
1.0
5.7401 0.0000 0.0000
0.0000 6.3734 0.0000
0.0000 0.0000 6.3734
Cl Cu P Rb
1 1 2 1
direct
0.5000 0.0000 0.0000
0.5000 0.5000 0.5000
0.0000 0.0000 0.5000
0.0000 0.5000 0.0000
0.0000 0.0000 0.0000
```

***

5.
First-principles (GGA-PBEsol) data for a relaxed structure of CuPRhCl2, as listed in Alexandria.

Formation energy from raw total energies = 0.44 eV/atom

```
CuPRhCl2
1.0
4.3724 0.0000 0.0000
0.0000 4.8389 0.0000
0.0000 0.0000 4.8389
Cu Cl P Rh
1 2 1 1
direct
0.5000 0.5000 0.5000
0.0000 0.0000 0.5000
0.0000 0.5000 0.0000
0.5000 0.0000 0.0000
0.0000 0.0000 0.0000
```

***

6.
First-principles (GGA-PBEsol) data for a relaxed structure of ScCuPCl2, as listed in Alexandria.

Formation energy from raw total energies = -0.30 eV/atom

```
ScCuPCl2
1.0
4.7107 0.0000 0.0000
0.0000 4.7107 0.0000
0.0000 0.0000 5.3251
P Cl Sc Cu
1 2 1 1
direct
0.0000 0.0000 0.5000
0.5000 0.0000 0.0000
0.0000 0.5000 0.0000
0.0000 0.0000 0.0000
0.5000 0.5000 0.5000
```

***

7.
First-principles (GGA-PBEsol) data for a relaxed structure of CuPSeCl2, as listed in Alexandria.

Formation energy from raw total energies = 0.37 eV/atom

```
CuPSeCl2
1.0
-3.6061 -1.3607 2.1407
0.2827 -3.9132 -2.0111
2.7630 -1.6525 3.6040
Cu Se Cl P
1 1 2 1
direct
0.0000 0.0000 0.0000
0.5000 0.5000 0.5000
0.5000 0.0000 0.0000
0.0000 0.5000 0.0000
0.0000 0.0000 0.5000
```

***

8.
First-principles (GGA-PBEsol) data for a relaxed structure of CuP4Se3Cl, as listed in Alexandria.

Formation energy from raw total energies = -0.15 eV/atom

```
CuP4Se3Cl
1.0
-5.6930 -2.2452 -1.4089
2.3482 -9.4520 5.5741
-2.3709 5.6379 10.5591
Cl Se P Cu
4 12 16 4
direct
0.6184 0.1671 0.9695
0.8816 0.6671 0.0305
0.3816 0.8329 0.0305
0.1184 0.3329 0.9695
0.0327 0.8433 0.3099
0.9673 0.1567 0.6901
0.4435 0.6365 0.5959
0.4709 0.0234 0.2846
0.5291 0.9766 0.7154
0.5327 0.6567 0.3099
0.4673 0.3433 0.6901
0.9435 0.8635 0.5959
0.9709 0.4766 0.2846
0.0565 0.1365 0.4041
0.0291 0.5234 0.7154
0.5565 0.3635 0.4041
0.0766 0.0425 0.8407
0.2310 0.4707 0.5872
0.7690 0.5293 0.4128
0.5662 0.6489 0.7810
0.9338 0.1489 0.2190
0.7032 0.4280 0.1430
0.2690 0.9707 0.4128
0.2032 0.0720 0.1430
0.7968 0.9280 0.8570
0.9234 0.9575 0.1593
0.5766 0.4575 0.8407
0.4234 0.5425 0.1593
0.7310 0.0293 0.5872
0.0662 0.8511 0.7810
0.2968 0.5720 0.8570
0.4338 0.3511 0.2190
0.7340 0.8554 0.0171
0.7660 0.3554 0.9829
0.2660 0.1446 0.9829
0.2340 0.6446 0.0171
```

***

9.
First-principles (GGA-PBEsol) data for a relaxed structure of Ta2CuPCl, as listed in Alexandria.

Formation energy from raw total energies = 0.70 eV/atom

```
Ta2CuPCl
1.0
4.0533 0.0000 0.0000
0.0000 4.7085 0.0000
0.0000 0.0000 4.7085
Ta P Cl Cu
2 1 1 1
direct
0.0000 0.5000 0.0000
0.0000 0.0000 0.5000
0.0000 0.0000 0.0000
0.5000 0.5000 0.5000
0.5000 0.0000 0.0000
```

***

10.
First-principles (GGA-PBEsol) data for a relaxed structure of CuP2WCl, as listed in Alexandria.

Formation energy from raw total energies = 0.69 eV/atom

```
CuP2WCl
1.0
4.6515 0.0000 0.0000
0.0000 4.6515 0.0000
0.0000 0.0000 4.7088
P W Cu Cl
2 1 1 1
direct
0.0000 0.5000 0.0000
0.5000 0.0000 0.0000
0.0000 0.0000 0.0000
0.5000 0.5000 0.5000
0.0000 0.0000 0.5000
```

***

11.
First-principles (GGA-PBEsol) data for a relaxed structure of ZnCuP2Cl, as listed in Alexandria.

Formation energy from raw total energies = 0.94 eV/atom

```
ZnCuP2Cl
1.0
-3.5954 -2.6436 -0.7398
1.8567 -3.2397 2.5532
-2.1742 1.8557 3.9357
P Cl Cu Zn
2 1 1 1
direct
0.5000 0.0000 0.0000
0.0000 0.5000 0.0000
0.0000 0.0000 0.5000
0.5000 0.5000 0.5000
0.0000 0.0000 0.0000
```

***

12.
First-principles (GGA-PBEsol) data for a relaxed structure of CuPb2Cl, as listed in Alexandria.

Formation energy from raw total energies = 0.03 eV/atom

```
CuPb2Cl
1.0
3.8004 0.0000 0.0000
1.9002 5.2533 0.0242
1.9002 2.2894 4.7282
Cl Pb Cu
1 2 1
direct
0.5000 0.0000 0.0000
0.2749 0.7251 0.7251
0.7251 0.2749 0.2749
0.0000 0.5000 0.5000
```

***

> Which formula does entry 11 have?

ZnCuP2Cl

***

> formation energy from raw total energies of number 4 (RbCuP2Cl)?

1.69 eV/atom